PBE Sm2TmHg, relaxed; E_form = -226 meV/atom; space-group type = P4/nmm; relative energy among the computed polymorphs = 0 meV/atom
1.0
5.162 0.000 0.000
0.000 5.162 0.000
0.000 0.000 8.864
Sm Tm Hg
4 2 2
direct
0.500 0.500 0.500
0.000 0.500 0.779
0.000 0.000 0.500
0.500 0.000 0.221
0.500 0.000 0.781
0.000 0.500 0.219
0.000 0.000 0.000
0.500 0.500 0.000